[1]
First-principles (PBE) data for TaTi2S after structural relaxation, as listed in Alexandria.

Cell: 7.493 7.493 5.842 Å, 50.11 50.11 90.00°
Fractional coordinates of all 8 atoms:
Ti: 0.207 0.625 0.250
Ti: 0.875 0.793 0.750
Ti: 0.543 0.125 0.250
Ti: 0.375 0.457 0.750
Ta: 0.750 0.250 0.500
Ta: 0.000 0.000 0.000
S: 0.250 0.750 0.500
S: 0.500 0.500 0.000

**Energy relative to the elements, uncorrected**: -210 meV per atom
**Symmetry**: I-42d (122)

***

[2]
First-principles (PBE) data for Hf3Zr4 after structural relaxation, as listed in Alexandria.

Cell: 4.482 7.126 5.542 Å, 97.46 113.85 90.00°
Fractional coordinates of all 7 atoms:
Zr: 0.141 0.427 0.281
Zr: 0.714 0.141 0.427
Zr: 0.859 0.573 0.719
Zr: 0.286 0.859 0.573
Hf: 0.000 0.000 0.000
Hf: 0.430 0.285 0.860
Hf: 0.570 0.715 0.140

**Distance to the lowest polymorph of the same formula**: 0.00 eV/f.u.
**Formation energy**: 0.0533 eV/atom
**Symmetry**: C2/m (12)

***

[3]
First-principles (PBE) data for KTe2I6 after structural relaxation, as listed in Alexandria.

Cell: 11.962 10.723 10.723 Å, 74.51 64.16 64.16°
Fractional coordinates of all 18 atoms:
Te: 0.280 0.623 0.711
Te: 0.720 0.377 0.289
Te: 0.780 0.711 0.623
Te: 0.220 0.289 0.377
I: 0.955 0.378 0.333
I: 0.337 0.395 0.900
I: 0.592 0.912 0.873
I: 0.837 0.900 0.395
I: 0.663 0.605 0.100
I: 0.908 0.127 0.088
I: 0.092 0.873 0.912
I: 0.455 0.333 0.378
I: 0.045 0.622 0.667
I: 0.408 0.088 0.127
I: 0.163 0.100 0.605
I: 0.545 0.667 0.622
K: 0.750 0.889 0.111
K: 0.250 0.111 0.889

**Energy relative to the elements, uncorrected**: -294 meV per atom
**Symmetry**: C2/c (15)

***

[4]
First-principles (PBE) data for La6In2Pd after structural relaxation, as listed in Alexandria.

Cell: 3.922 9.159 9.158 Å, 120.00 90.00 90.00°
Fractional coordinates of all 9 atoms:
La: 0.000 0.249 0.000
La: 0.500 0.600 0.000
La: 0.000 0.750 0.750
La: 0.000 0.000 0.250
La: 0.500 0.000 0.599
La: 0.500 0.401 0.401
Pd: 0.500 0.000 0.000
In: 0.000 0.667 0.333
In: 0.000 0.333 0.667

**Formation energy**: -0.4256 eV/atom
**Symmetry**: P-62m (189)

***

[5]
First-principles (PBE) data for RbThMnS4 after structural relaxation, as listed in Alexandria.

Cell: 6.743 6.286 9.285 Å, 90.00 107.85 90.00°
Fractional coordinates of all 14 atoms:
S: 0.422 0.750 0.571
S: 0.984 0.011 0.299
S: 0.571 0.250 0.823
S: 0.984 0.489 0.299
S: 0.016 0.511 0.701
S: 0.016 0.989 0.701
S: 0.578 0.250 0.429
S: 0.429 0.750 0.177
Mn: 0.782 0.250 0.675
Mn: 0.218 0.750 0.325
Th: 0.753 0.750 0.444
Th: 0.247 0.250 0.556
Rb: 0.272 0.250 0.060
Rb: 0.728 0.750 0.940

**Energy relative to the elements, uncorrected**: -1323 meV per atom
**Symmetry**: P2_1/m (11)

***

[6]
First-principles (PBE) data for Hf5ZrGa5 after structural relaxation, as listed in Alexandria.

Cell: 5.140 7.758 6.023 Å, 100.11 90.00 109.34°
Fractional coordinates of all 11 atoms:
Ga: 0.824 0.647 0.276
Ga: 0.174 0.348 0.269
Ga: 0.500 0.000 0.000
Ga: 0.826 0.652 0.731
Ga: 0.176 0.353 0.724
Hf: 0.360 0.720 0.592
Hf: 0.640 0.280 0.408
Hf: 0.000 0.000 0.500
Hf: 0.668 0.335 0.915
Hf: 0.332 0.665 0.085
Zr: 0.000 0.000 0.000

**Formation energy**: -0.1169 eV/atom
**Symmetry**: C2/m (12)

***

[7]
First-principles (PBE) data for SiOs2Cl after structural relaxation, as listed in Alexandria.

Cell: 2.887 2.887 8.367 Å, 90.00 90.00 120.98°
Fractional coordinates of all 4 atoms:
Cl: 0.500 0.500 0.750
Os: 0.000 0.000 0.478
Os: 0.000 0.000 0.022
Si: 0.500 0.500 0.250

**Distance to the lowest polymorph of the same formula**: 0.92 eV/f.u.
**Energy relative to the elements, uncorrected**: 555 meV per atom
**Symmetry**: Cmmm (65)

***

[8]
First-principles (PBE) data for TaTc3B after structural relaxation, as listed in Alexandria.

Cell: 4.728 4.728 4.728 Å, 90.00 90.00 90.00°
Fractional coordinates of all 5 atoms:
Tc: 0.500 0.000 0.000
Tc: 0.000 0.500 0.000
Tc: 0.000 0.000 0.500
Ta: 0.000 0.000 0.000
B: 0.500 0.500 0.500

**Distance to the lowest polymorph of the same formula**: 13.82 eV/f.u.
**Formation energy**: 2.6516 eV/atom
**Symmetry**: Pm-3m (221)

***

| no. | raw total energy (eV for the cell shown) |
| --- | --- |
| 1 | -65.222 |
| 2 | -63.680 |
| 3 | -38.658 |
| 4 | -44.065 |
| 5 | -86.653 |
| 6 | -74.735 |
| 7 | -27.508 |
| 8 | -36.370 |